1.
A plane-wave DFT calculation with PBE-GGA was carried out for crystalline Ba3Br3N at its relaxed geometry.

a b c (Å): 6.4060 13.2507 13.2510
angles (deg): 90.00 90.00 90.00
Last column: nearest neighbours and their distance in Å.
Element x y z (fractional)
Br 0.5000 0.1246 0.3664  3 Ba 3.27-3.33
Br 0.5000 0.6336 0.8754  3 Ba 3.27-3.33
Br 0.0000 0.1336 0.6246  3 Ba 3.27-3.33
Br 0.5000 0.3664 0.1246  3 Ba 3.27-3.33
Br 0.0000 0.3468 0.3468  4 Ba 3.31-3.40
Br 0.0000 0.3754 0.8664  3 Ba 3.27-3.33
Br 0.5000 0.8754 0.6336  3 Ba 3.27-3.33
Br 0.0000 0.6246 0.1336  3 Ba 3.27-3.33
Br 0.0000 0.8664 0.3754  3 Ba 3.27-3.33
Br 0.5000 0.8468 0.1532  4 Ba 3.31-3.40
Br 0.5000 0.1532 0.8468  4 Ba 3.31-3.40
Br 0.0000 0.6532 0.6532  4 Ba 3.31-3.40
N 0.5000 0.6094 0.3906  4 Ba 2.53-2.68
N 0.5000 0.3906 0.6094  4 Ba 2.53-2.68
N 0.0000 0.8906 0.8906  4 Ba 2.53-2.68
N 0.0000 0.1094 0.1094  4 Ba 2.53-2.68
Ba 0.5000 0.1994 0.6014  1 N 2.53
Ba 0.0000 0.6994 0.8986  1 N 2.53
Ba 0.0000 0.9080 0.0920  2 N 2.68
Ba 0.5000 0.6014 0.1995  1 N 2.53
Ba 0.0000 0.0920 0.9080  2 N 2.68
Ba 0.5000 0.5920 0.5920  2 N 2.68
Ba 0.5000 0.4080 0.4080  2 N 2.68
Ba 0.5000 0.3986 0.8005  1 N 2.53
Ba 0.0000 0.1014 0.3005  1 N 2.53
Ba 0.0000 0.8986 0.6995  1 N 2.53
Ba 0.5000 0.8006 0.3986  1 N 2.53
Ba 0.0000 0.3006 0.1014  1 N 2.53

Values from the calculation:
- Energy above the most stable polymorph in this dataset: 120 meV per atom
- Volume: 40.172 Å³/atom
- Formation energy without anion corrections: -10.593 eV/f.u.

---

2.
A plane-wave DFT calculation with PBE-GGA was carried out for crystalline Ba4Br5N2 at its relaxed geometry.

a b c (Å): 4.6131 8.5189 10.6746
angles (deg): 113.52 102.48 90.00
Last column: nearest neighbours and their distance in Å.
Element x y z (fractional)
Br 0.1684 0.3993 0.3368  4 Ba 3.24-3.56
Br 0.1684 0.9375 0.3368  4 Ba 3.24-3.56
Br 0.8316 0.0625 0.6632  4 Ba 3.24-3.56
Br 0.5000 0.0000 0.0000  4 Ba 3.37
Br 0.8316 0.6007 0.6632  4 Ba 3.24-3.56
N 0.5343 0.5343 0.0687  1 N 1.31
N 0.4657 0.4657 0.9313  1 N 1.31
Ba 0.3242 0.3242 0.6484  1 N 2.69
Ba 0.0000 0.7119 0.0000  4 N 3.00, 2 Br 3.24
Ba 0.6758 0.6758 0.3516  1 N 2.69
Ba 0.0000 0.2881 0.0000  4 N 3.00, 2 Br 3.24

Values from the calculation:
- Volume: 33.984 Å³/atom
- Formation energy without anion corrections: -18.139 eV/f.u.